Record 1
# Na2PtClF PBE relaxed
data_Na2PtClF
_space_group_name_H-M_alt 'P 1'
_space_group_IT_number 1
_space_group_name_Hall 'P 1'
_cell_length_a 5.535
_cell_length_b 5.535
_cell_length_c 4.025
_cell_angle_alpha 90.00
_cell_angle_beta 90.00
_cell_angle_gamma 90.00
loop_
_atom_site_label
_atom_site_fract_x
_atom_site_fract_y
_atom_site_fract_z
_atom_site_occupancy
Na1 0.000 0.500 0.000 1
Na2 0.500 0.000 0.000 1
Pt1 0.000 0.000 0.000 1
Cl1 0.500 0.500 0.500 1
F1 0.000 0.000 0.500 1
# Total DFT energy (no corrections), eV per formula unit: -16.874
# DOS at the Fermi energy, states/eV/f.u.: 0.00
# Raw formation energy, kJ/mol of formula units: -432

Record 2
# NaPuCl2F6 PBE relaxed
data_NaPuCl2F6
_space_group_name_H-M_alt 'P 1'
_space_group_IT_number 1
_space_group_name_Hall 'P 1'
_cell_length_a 6.443
_cell_length_b 6.443
_cell_length_c 6.443
_cell_angle_alpha 60.00
_cell_angle_beta 60.00
_cell_angle_gamma 60.00
loop_
_atom_site_label
_atom_site_fract_x
_atom_site_fract_y
_atom_site_fract_z
_atom_site_occupancy
Na1 0.000 0.000 0.000 1
Pu1 0.500 0.500 0.500 1
Cl1 0.250 0.250 0.250 1
Cl2 0.750 0.750 0.750 1
F1 0.274 0.274 0.726 1
F2 0.274 0.726 0.274 1
F3 0.274 0.726 0.726 1
F4 0.726 0.274 0.274 1
F5 0.726 0.274 0.726 1
F6 0.726 0.726 0.274 1
# Total DFT energy (no corrections), eV per formula unit: -52.422
# DOS at the Fermi energy, states/eV/f.u.: 27.39
# Raw formation energy, kJ/mol of formula units: -2108

Record 3
# Rb3Na2Cl3F2 PBE relaxed
data_Rb3Na2Cl3F2
_space_group_name_H-M_alt 'P 1'
_space_group_IT_number 1
_space_group_name_Hall 'P 1'
_cell_length_a 13.567
_cell_length_b 13.567
_cell_length_c 13.567
_cell_angle_alpha 160.61
_cell_angle_beta 160.61
_cell_angle_gamma 27.56
loop_
_atom_site_label
_atom_site_fract_x
_atom_site_fract_y
_atom_site_fract_z
_atom_site_occupancy
Rb1 0.000 0.000 0.000 1
Rb2 0.366 0.366 0.000 1
Rb3 0.634 0.634 0.000 1
Na1 0.231 0.231 0.000 1
Na2 0.769 0.769 0.000 1
Cl1 0.124 0.124 0.000 1
Cl2 0.500 0.500 0.000 1
Cl3 0.876 0.876 0.000 1
F1 0.250 0.750 0.500 1
F2 0.750 0.250 0.500 1
# Total DFT energy (no corrections), eV per formula unit: -36.734
# DOS at the Fermi energy, states/eV/f.u.: 0.00
# Raw formation energy, kJ/mol of formula units: -2114

Record 4
# RbNaCl2F8 PBE relaxed
data_RbNaCl2F8
_space_group_name_H-M_alt 'P 1'
_space_group_IT_number 1
_space_group_name_Hall 'P 1'
_cell_length_a 5.313
_cell_length_b 5.313
_cell_length_c 9.029
_cell_angle_alpha 90.00
_cell_angle_beta 90.00
_cell_angle_gamma 120.00
loop_
_atom_site_label
_atom_site_fract_x
_atom_site_fract_y
_atom_site_fract_z
_atom_site_occupancy
Rb1 0.000 0.000 0.000 1
Na1 0.000 0.000 0.500 1
Cl1 0.333 0.667 0.796 1
Cl2 0.667 0.333 0.204 1
F1 0.055 0.367 0.664 1
F2 0.312 0.945 0.664 1
F3 0.333 0.667 0.011 1
F4 0.367 0.312 0.336 1
F5 0.633 0.688 0.664 1
F6 0.667 0.333 0.989 1
F7 0.688 0.055 0.336 1
F8 0.945 0.633 0.336 1
# Total DFT energy (no corrections), eV per formula unit: -32.825
# Raw formation energy, kJ/mol of formula units: -1146